[1]
A plane-wave DFT calculation with PBE was carried out for crystalline Pm5Sm6Dy2 at its relaxed geometry. Values from VASP.

Values from the calculation:
DFT total energy ... -4.6209 eV per atom
Magnetic moment ... 0.00 μB/atom
Symmetry ... Pbam (55)
Crystal system ... orthorhombic
Energy of formation from the pure elements ... 0.092 eV per atom

The structure in Quantum ESPRESSO input format:
```
&SYSTEM
  ibrav = 0, nat = 26, ntyp = 3
/
ATOMIC_SPECIES
Sm 150.36 Sm.upf
Dy 162.50 Dy.upf
Pm 145.00 Pm.upf
ATOMIC_POSITIONS angstrom
Sm 0.000 11.058 19.085
Sm 0.000 0.721 1.670
Dy 0.000 7.894 14.753
Dy 0.000 9.774 4.376
Pm 1.817 9.444 1.101
Sm 0.000 5.169 12.048
Sm 1.817 7.947 17.905
Sm 1.817 2.058 13.228
Sm 1.817 9.721 7.527
Sm 0.000 6.610 8.707
Pm 1.817 6.908 5.678
Sm 0.000 10.815 13.118
Sm 1.817 3.832 2.850
Pm 1.817 0.000 10.378
Sm 0.000 6.852 2.740
Pm 1.817 3.555 9.277
Pm 1.817 5.889 0.000
Dy 0.000 3.885 6.002
Pm 1.817 10.759 16.056
Sm 0.000 4.926 18.015
Pm 1.817 4.870 15.077
Pm 1.817 1.019 4.700
Dy 0.000 2.005 16.380
Sm 0.000 0.963 7.638
Pm 1.817 2.335 19.655
Pm 1.817 8.224 11.478
CELL_PARAMETERS angstrom
3.633 0.000 0.000
0.000 11.779 0.000
0.000 0.000 20.755
```

---

[2]
A plane-wave DFT calculation with PBE was carried out for crystalline Pm4Sm5Dy2 at its relaxed geometry. Values from VASP.

Values from the calculation:
DFT total energy ... -4.6463 eV per atom
Energy relative to the lowest polymorph listed for this composition ... 0 meV/atom
Magnetic moment ... 0.00 μB/atom
Symmetry ... C2/m (12)
Crystal system ... monoclinic
Energy of formation from the pure elements ... 0.063 eV per atom

The structure in Quantum ESPRESSO input format:
```
&SYSTEM
  ibrav = 0, nat = 11, ntyp = 3
/
ATOMIC_SPECIES
Sm 150.36 Sm.upf
Pm 145.00 Pm.upf
Dy 162.50 Dy.upf
ATOMIC_POSITIONS angstrom
Sm 2.751 0.692 5.431
Sm 1.833 0.000 -0.294
Sm 0.473 -0.247 2.951
Pm 3.325 4.104 9.011
Sm 2.782 7.214 5.626
Dy 1.894 5.593 0.082
Pm 0.969 3.972 6.046
Dy 1.362 1.374 8.495
Pm 2.286 2.995 2.531
Sm 0.504 6.275 3.146
Pm -0.070 2.863 -0.434
CELL_PARAMETERS angstrom
3.667 0.000 -0.588
-0.484 8.789 -3.019
0.073 -1.821 12.184
```

---

[3]
A plane-wave DFT calculation with PBE was carried out for crystalline Pm2Sm3Dy7 at its relaxed geometry. Values from VASP.

Values from the calculation:
DFT total energy ... -4.5715 eV per atom
Energy relative to the lowest polymorph listed for this composition ... 0 meV/atom
Magnetic moment ... 0.00 μB/atom
Symmetry ... P2/m (10)
Crystal system ... monoclinic
Energy of formation from the pure elements ... 0.085 eV per atom

The structure in Quantum ESPRESSO input format:
```
&SYSTEM
  ibrav = 0, nat = 12, ntyp = 3
/
ATOMIC_SPECIES
Pm 145.00 Pm.upf
Sm 150.36 Sm.upf
Dy 162.50 Dy.upf
ATOMIC_POSITIONS angstrom
Pm 9.258 -5.343 8.173
Sm 5.492 -2.399 3.592
Dy 12.351 -6.631 8.041
Dy 12.011 -3.796 10.056
Dy -0.391 -5.920 1.719
Dy 1.259 -2.996 0.750
Dy 4.738 -5.828 5.144
Sm 8.118 -7.228 5.200
Pm 2.362 -4.373 3.602
Dy 6.882 -3.889 6.632
Dy 0.000 0.000 0.000
Sm -2.080 -2.633 0.691
CELL_PARAMETERS angstrom
-1.990 -0.089 2.984
-2.170 -5.176 -1.602
15.779 -4.451 10.393
```

---

[4]
A plane-wave DFT calculation with PBE was carried out for crystalline Pm5Sm6Dy at its relaxed geometry. Values from VASP.

Values from the calculation:
DFT total energy ... -4.7094 eV per atom
Magnetic moment ... 0.00 μB/atom
Symmetry ... C2/m (12)
Crystal system ... monoclinic
Energy of formation from the pure elements ... 0.013 eV per atom

The structure in Quantum ESPRESSO input format:
```
&SYSTEM
  ibrav = 0, nat = 12, ntyp = 3
/
ATOMIC_SPECIES
Pm 145.00 Pm.upf
Dy 162.50 Dy.upf
Sm 150.36 Sm.upf
ATOMIC_POSITIONS angstrom
Pm 2.674 3.632 6.753
Dy 0.000 0.000 0.000
Sm 7.455 3.634 4.853
Pm 6.112 3.630 1.487
Sm 4.005 3.634 10.141
Pm 3.056 1.816 0.744
Sm 4.399 1.811 4.110
Sm 1.335 0.000 3.366
Pm 2.674 0.000 6.753
Sm 0.949 1.811 9.397
Pm 5.730 1.814 7.497
Sm 4.013 0.000 10.140
CELL_PARAMETERS angstrom
6.112 0.000 1.487
3.056 5.446 0.744
-0.764 0.000 12.019
```